Computed, not measured: PaFe2PdO8 after structural relaxation at the PBE+U level of DFT.

Cell: 6.5551 6.5551 6.5551 Å, 134.12 134.12 66.90°
Fractional coordinates of all 12 atoms:
1 Pa 0.0000 0.0000 0.0000
2 Fe 0.2500 0.7500 0.5000
3 Fe 0.5000 0.5000 0.0000
4 Pd 0.7500 0.2500 0.5000
5 O 0.0223 0.6117 0.9915
6 O 0.2344 0.1480 0.5408
7 O 0.3065 0.7656 0.9136
8 O 0.3883 0.3799 0.4106
9 O 0.6072 0.6935 0.4592
10 O 0.6201 0.0307 0.0085
11 O 0.8520 0.3928 0.0864
12 O 0.9693 0.9777 0.5894

For the magnetization, the calculation gives 6.957 μB/f.u. The space group is No. 82. The total energy is -6.9123 eV/atom.